VASP calculation (PBE with a Hubbard U) on a relaxed Li4CoO3F crystal.

```
Li4CoO3F
1.0
2.736 -4.181 0.643
-0.133 1.591 -5.147
4.989 5.617 1.607
O Li F Co
6 8 2 2
direct
0.615 0.218 0.159
0.311 0.360 0.384
0.008 0.789 0.318
0.013 0.024 0.985
0.969 0.305 0.668
0.368 0.981 0.707
0.080 0.076 0.514
0.039 0.464 0.201
0.705 0.924 0.113
0.102 0.727 0.855
0.356 0.311 0.895
0.610 0.538 0.264
0.218 0.611 0.538
0.598 0.348 0.588
0.646 0.610 0.759
0.342 0.622 0.054
0.267 0.063 0.222
0.752 0.030 0.777
```

Results
ΔE to the lowest computed polymorph	0.041	eV per atom
space group	P1 (1)